# 1
DFT (PBE) results for a relaxed LaTb3Bi3 crystal. Values from VASP.

Properties
**Total magnetic moment**: 0.000 μB/atom
**Density of states at the Fermi level**: 10.21 states/eV/cell
**Space group**: No. 148
**DFT formation energy**: -0.684 eV per atom
**Total DFT energy (no corrections)**: -0.185 Ha/atom
**Calculated volume**: 479.3 Å³/cell

Cell and atoms, written as Quantum ESPRESSO input:
```
&SYSTEM
  ibrav = 0, nat = 14, ntyp = 3
/
ATOMIC_SPECIES
La 138.91 La.upf
Tb 158.93 Tb.upf
Bi 208.98 Bi.upf
CELL_PARAMETERS angstrom
9.369 0.000 0.000
4.684 8.114 0.000
4.684 2.705 6.306
ATOMIC_POSITIONS crystal
La 0.666 0.666 0.002
Tb 0.084 0.345 0.751
Bi 0.082 0.705 0.747
Tb 0.916 0.655 0.249
Tb 0.180 0.916 0.249
Bi 0.705 0.466 0.747
Tb 0.655 0.180 0.249
Bi 0.918 0.295 0.253
Bi 0.295 0.534 0.253
Tb 0.820 0.084 0.751
La 0.334 0.334 0.998
Bi 0.466 0.082 0.747
Tb 0.345 0.820 0.751
Bi 0.534 0.918 0.253
```

=====

# 2
DFT (PBE) results for a relaxed LaTb2Bi crystal. Values from VASP.

Properties
**Total magnetic moment**: 0.000 μB/atom
**Density of states at the Fermi level**: 2.58 states/eV/cell
**E above lowest polymorph**: 0.418 eV per atom
**Space group**: No. 166
**DFT formation energy**: 0.014 eV per atom
**Total DFT energy (no corrections)**: -0.165 Ha/atom
**Calculated volume**: 136.0 Å³/cell

Cell and atoms, written as Quantum ESPRESSO input:
```
&SYSTEM
  ibrav = 0, nat = 4, ntyp = 3
/
ATOMIC_SPECIES
Bi 208.98 Bi.upf
Tb 158.93 Tb.upf
La 138.91 La.upf
CELL_PARAMETERS angstrom
-0.503 1.985 2.948
-2.771 -0.686 2.174
5.836 -7.301 8.096
ATOMIC_POSITIONS crystal
Bi 0.000 0.000 0.000
Tb 0.087 0.087 0.740
Tb 0.913 0.913 0.260
La 0.500 0.500 0.500
```

=====

# 3
DFT (PBE) results for a relaxed La2TbBi crystal. Values from VASP.

Properties
**Total magnetic moment**: 0.000 μB/atom
**Density of states at the Fermi level**: 8.15 states/eV/cell
**E above lowest polymorph**: 0.042 eV per atom
**Space group**: No. 11
**DFT formation energy**: -0.416 eV per atom
**Total DFT energy (no corrections)**: -0.184 Ha/atom
**Calculated volume**: 264.7 Å³/cell

Cell and atoms, written as Quantum ESPRESSO input:
```
&SYSTEM
  ibrav = 0, nat = 8, ntyp = 3
/
ATOMIC_SPECIES
Tb 158.93 Tb.upf
Bi 208.98 Bi.upf
La 138.91 La.upf
CELL_PARAMETERS angstrom
-4.440 1.510 0.099
-1.496 -4.421 0.318
2.736 -0.063 11.983
ATOMIC_POSITIONS crystal
Tb 0.305 0.250 0.611
Tb 0.695 0.750 0.389
Bi 0.824 0.750 0.652
La 0.577 0.250 0.138
Bi 0.176 0.250 0.348
La 0.046 0.750 0.125
La 0.423 0.750 0.862
La 0.954 0.250 0.875
```

=====

# 4
DFT (PBE) results for a relaxed La2TbBi crystal. Values from VASP.

Properties
**Total magnetic moment**: 0.000 μB/atom
**Density of states at the Fermi level**: 5.78 states/eV/cell
**E above lowest polymorph**: 0.042 eV per atom
**Space group**: No. 123
**DFT formation energy**: -0.416 eV per atom
**Total DFT energy (no corrections)**: -0.184 Ha/atom
**Calculated volume**: 134.8 Å³/cell

Cell and atoms, written as Quantum ESPRESSO input:
```
&SYSTEM
  ibrav = 0, nat = 4, ntyp = 3
/
ATOMIC_SPECIES
Tb 158.93 Tb.upf
La 138.91 La.upf
Bi 208.98 Bi.upf
CELL_PARAMETERS angstrom
4.355 0.000 0.000
0.000 4.355 0.000
0.000 0.000 7.106
ATOMIC_POSITIONS crystal
Tb 0.500 0.500 0.000
La 0.000 0.000 0.729
La 0.000 0.000 0.271
Bi 0.500 0.500 0.500
```

=====

# 5
DFT (PBE) results for a relaxed La2TbBi crystal. Values from VASP.

Properties
**Total magnetic moment**: 0.000 μB/atom
**Density of states at the Fermi level**: 3.84 states/eV/cell
**E above lowest polymorph**: 0.000 eV per atom
**Space group**: No. 123
**DFT formation energy**: -0.458 eV per atom
**Total DFT energy (no corrections)**: -0.186 Ha/atom
**Calculated volume**: 125.8 Å³/cell

Cell and atoms, written as Quantum ESPRESSO input:
```
&SYSTEM
  ibrav = 0, nat = 4, ntyp = 3
/
ATOMIC_SPECIES
La 138.91 La.upf
Bi 208.98 Bi.upf
Tb 158.93 Tb.upf
CELL_PARAMETERS angstrom
-2.774 2.954 3.062
-0.528 -3.791 3.179
4.135 1.418 2.377
ATOMIC_POSITIONS crystal
La 0.000 0.000 0.500
Bi 0.500 0.000 0.000
Tb 0.500 0.500 0.500
La 0.000 0.500 0.000
```

=====

# 6
DFT (PBE) results for a relaxed La2TbBi3 crystal. Values from VASP.

Properties
**Total magnetic moment**: 0.000 μB/atom
**Density of states at the Fermi level**: 0.96 states/eV/cell
**E above lowest polymorph**: 0.005 eV per atom
**Space group**: No. 71
**DFT formation energy**: -0.989 eV per atom
**Total DFT energy (no corrections)**: -0.196 Ha/atom
**Calculated volume**: 211.6 Å³/cell

Cell and atoms, written as Quantum ESPRESSO input:
```
&SYSTEM
  ibrav = 0, nat = 6, ntyp = 3
/
ATOMIC_SPECIES
Bi 208.98 Bi.upf
La 138.91 La.upf
Tb 158.93 Tb.upf
CELL_PARAMETERS angstrom
4.642 0.000 0.000
0.000 6.566 0.000
-2.321 -3.283 6.942
ATOMIC_POSITIONS crystal
Bi 0.660 0.660 0.321
La 0.668 0.168 0.336
Tb 0.000 0.500 0.000
Bi 0.340 0.340 0.679
Bi 0.000 0.000 0.000
La 0.332 0.832 0.664
```